No. 1
A geometry-optimized Sr2I2O structure. Source: Alexandria, functional PBE.

Unit cell a=14.610 b=6.791 c=9.356 alpha=90.00 beta=123.11 gamma=90.00
Space group C2/m (No. 12)
Unique sites:
1 Sr 0.032 0.000 0.349 (multiplicity 4)
2 Sr 0.208 0.500 0.135 (multiplicity 4)
3 I 0.043 0.500 0.278 (multiplicity 4)
4 I 0.177 0.000 0.103 (multiplicity 4)
5 O 0.122 0.000 0.641 (multiplicity 4)

Values from the calculation:
Raw formation energy in eV/atom: -2.060
Density of states at the Fermi level in states/eV/f.u.: 0.000

No. 2
A geometry-optimized DyTm12Sc6 structure. Source: Alexandria, functional PBE.

Unit cell a=10.334 b=10.334 c=10.334 alpha=90.00 beta=90.00 gamma=90.00
Space group Im-3 (No. 204)
Unique sites:
1 Dy 0.000 0.000 0.000 (multiplicity 2)
2 Tm 0.000 0.195 0.266 (multiplicity 24)
3 Sc 0.000 0.362 0.500 (multiplicity 12)

Values from the calculation:
Density of states at the Fermi level in states/eV/f.u.: 28.373
ΔE to the lowest computed polymorph in meV/atom: 0
ΔE_f in eV per atom: 0.242

No. 3
A geometry-optimized Ce2TiFe structure. Source: Alexandria, functional PBE.

Unit cell a=2.9119 b=2.9119 c=31.7338 alpha=90.00 beta=90.00 gamma=120.00
Space group R-3m (No. 166, hexagonal axes)
Unique sites:
1 Ce 0.0000 0.0000 0.0871 (multiplicity 6)
2 Ti 0.0000 0.0000 0.0000 (multiplicity 3)
3 Fe 0.0000 0.0000 0.5000 (multiplicity 3)

Values from the calculation:
Density of states at the Fermi level in states/eV/f.u.: 7.247
ΔE_f in eV per atom: 0.379

No. 4
A geometry-optimized SiC2Se structure. Source: Alexandria, functional PBE.

Unit cell a=5.606 b=5.606 c=5.606 alpha=90.00 beta=90.00 gamma=90.00
Space group Fm-3m (No. 225)
Unique sites:
1 Si 0.000 0.000 0.000 (multiplicity 4)
2 C 0.250 0.250 0.250 (multiplicity 8)
3 Se 0.000 0.000 0.500 (multiplicity 4)

Values from the calculation:
Raw formation energy in eV/atom: 2.395
Density of states at the Fermi level in states/eV/f.u.: 1.588
ΔE to the lowest computed polymorph in meV/atom: 1354

No. 5
A geometry-optimized La2PrEu structure. Source: Alexandria, functional PBE.

Unit cell a=8.473 b=8.473 c=8.473 alpha=90.00 beta=90.00 gamma=90.00
Space group Fm-3m (No. 225)
Unique sites:
1 La 0.250 0.250 0.250 (multiplicity 8)
2 Pr 0.000 0.000 0.000 (multiplicity 4)
3 Eu 0.000 0.000 0.500 (multiplicity 4)

Values from the calculation:
Density of states at the Fermi level in states/eV/f.u.: 5.901
ΔE to the lowest computed polymorph in meV/atom: 90
ΔE_f in eV per atom: 0.115

No. 6
A geometry-optimized POsS structure. Source: Alexandria, functional PBE.

Unit cell a=3.416 b=4.239 c=4.299 alpha=71.30 beta=66.64 gamma=66.37
Space group P1 (No. 1)
Unique sites:
1 P 0.000 0.000 0.000 (multiplicity 1)
2 Os 0.648 0.590 0.111 (multiplicity 1)
3 S 0.000 0.443 0.556 (multiplicity 1)

Values from the calculation:
Raw formation energy in eV/atom: 0.048
Density of states at the Fermi level in states/eV/f.u.: 2.206

No. 7
A geometry-optimized Na3Sn2Au5 structure. Source: Alexandria, functional PBE.

Unit cell a=8.846 b=11.773 c=9.297 alpha=90.00 beta=90.00 gamma=90.00
Space group Ibam (No. 72)
Unique sites:
1 Na 0.000 0.000 0.250 (multiplicity 4)
2 Na 0.240 0.392 0.000 (multiplicity 8)
3 Sn 0.098 0.150 0.000 (multiplicity 8)
4 Au 0.000 0.253 0.250 (multiplicity 8)
5 Au 0.000 0.500 0.250 (multiplicity 4)
6 Au 0.097 0.374 0.500 (multiplicity 8)

Values from the calculation:
Density of states at the Fermi level in states/eV/f.u.: 2.915
ΔE_f in eV per atom: -0.171

No. 8
A geometry-optimized Sm3Er2Cd structure. Source: Alexandria, functional PBE.

Unit cell a=3.603 b=3.603 c=14.207 alpha=90.00 beta=90.00 gamma=90.00
Space group P4/mmm (No. 123)
Unique sites:
1 Sm 0.000 0.000 0.000 (multiplicity 1)
2 Sm 0.000 0.000 0.351 (multiplicity 2)
3 Er 0.500 0.500 0.175 (multiplicity 2)
4 Cd 0.500 0.500 0.500 (multiplicity 1)

Values from the calculation:
Density of states at the Fermi level in states/eV/f.u.: 8.092
ΔE to the lowest computed polymorph in meV/atom: 0
ΔE_f in eV per atom: -0.085

No. 9
A geometry-optimized PmTi4O8 structure. Source: Alexandria, functional PBE.

Unit cell a=5.9177 b=5.9177 c=17.1235 alpha=90.00 beta=90.00 gamma=120.00
Space group R-3m (No. 166, hexagonal axes)
Unique sites:
1 Pm 0.0000 0.0000 0.0000 (multiplicity 3)
2 Ti 0.0000 0.0000 0.5000 (multiplicity 3)
3 Ti 0.0000 0.5000 0.5000 (multiplicity 9)
4 O 0.0000 0.0000 0.2251 (multiplicity 6)
5 O 0.0069 0.5034 0.7663 (multiplicity 18)

Values from the calculation:
Raw formation energy in eV/atom: -2.977
Density of states at the Fermi level in states/eV/f.u.: 5.569

No. 10
A geometry-optimized Sr2MgBe structure. Source: Alexandria, functional PBE.

Unit cell a=7.638 b=7.657 c=7.718 alpha=90.00 beta=90.00 gamma=90.00
Space group F222 (No. 22)
Unique sites:
1 Sr 0.000 0.000 0.000 (multiplicity 4)
2 Sr 0.250 0.250 0.250 (multiplicity 4)
3 Mg 0.000 0.000 0.500 (multiplicity 4)
4 Be 0.250 0.250 0.750 (multiplicity 4)

Values from the calculation:
Density of states at the Fermi level in states/eV/f.u.: 0.949
ΔE to the lowest computed polymorph in meV/atom: 164
ΔE_f in eV per atom: 0.410

No. 11
A geometry-optimized Ac2NpHS6 structure. Source: Alexandria, functional PBE.

Unit cell a=12.093 b=6.569 c=6.873 alpha=90.00 beta=122.08 gamma=90.00
Space group C2/m (No. 12)
Unique sites:
1 Ac 0.239 0.000 0.215 (multiplicity 4)
2 Np 0.000 0.000 0.500 (multiplicity 2)
3 H 0.000 0.500 0.000 (multiplicity 2)
4 S 0.050 0.264 0.812 (multiplicity 8)
5 S 0.243 0.000 0.646 (multiplicity 4)

Values from the calculation:
Density of states at the Fermi level in states/eV/f.u.: 3.094

No. 12
A geometry-optimized Al3GaS6 structure. Source: Alexandria, functional PBE.

Unit cell a=10.2035 b=10.2035 c=12.4432 alpha=90.00 beta=90.00 gamma=120.00
Space group R-3 (No. 148, hexagonal axes)
Unique sites:
1 Al 0.0527 0.2713 0.2074 (multiplicity 18)
2 Ga 0.0000 0.0000 0.0000 (multiplicity 3)
3 Ga 0.0000 0.0000 0.5000 (multiplicity 3)
4 S 0.0194 0.1913 0.8729 (multiplicity 18)
5 S 0.0190 0.2101 0.3951 (multiplicity 18)

Values from the calculation:
Raw formation energy in eV/atom: -0.764

No. 13
A geometry-optimized HfB2RhPb structure. Source: Alexandria, functional PBE.

Unit cell a=4.513 b=4.513 c=4.927 alpha=90.00 beta=90.00 gamma=90.00
Space group P4/mmm (No. 123)
Unique sites:
1 Hf 0.000 0.000 0.000 (multiplicity 1)
2 B 0.000 0.500 0.000 (multiplicity 2)
3 Rh 0.000 0.000 0.500 (multiplicity 1)
4 Pb 0.500 0.500 0.500 (multiplicity 1)

Values from the calculation:
Density of states at the Fermi level in states/eV/f.u.: 3.329
ΔE_f in eV per atom: 1.230

No. 14
A geometry-optimized Tl2GeRu structure. Source: Alexandria, functional PBE.

Unit cell a=10.902 b=10.902 c=4.787 alpha=90.00 beta=90.00 gamma=90.00
Space group I-42d (No. 122)
Unique sites:
1 Tl 0.002 0.750 0.125 (multiplicity 8)
2 Ge 0.000 0.000 0.500 (multiplicity 4)
3 Ru 0.000 0.000 0.000 (multiplicity 4)

Values from the calculation:
Density of states at the Fermi level in states/eV/f.u.: 0.000
ΔE_f in eV per atom: 0.190

No. 15
A geometry-optimized MgMn2Sb structure. Source: Alexandria, functional PBE.

Unit cell a=6.309 b=6.309 c=6.309 alpha=90.00 beta=90.00 gamma=90.00
Space group F-43m (No. 216)
Unique sites:
1 Mg 0.000 0.000 0.000 (multiplicity 4)
2 Mn 0.000 0.000 0.500 (multiplicity 4)
3 Mn 0.250 0.250 0.250 (multiplicity 4)
4 Sb 0.250 0.250 0.750 (multiplicity 4)

Values from the calculation:
Raw formation energy in eV/atom: 0.278
Density of states at the Fermi level in states/eV/f.u.: 1.383

No. 16
A geometry-optimized Li2CaInNi structure. Source: Alexandria, functional PBE.

Unit cell a=4.742 b=4.742 c=4.926 alpha=90.00 beta=90.00 gamma=90.00
Space group P4/mmm (No. 123)
Unique sites:
1 Li 0.000 0.500 0.000 (multiplicity 2)
2 Ca 0.000 0.000 0.500 (multiplicity 1)
3 In 0.500 0.500 0.500 (multiplicity 1)
4 Ni 0.500 0.500 0.000 (multiplicity 1)

Values from the calculation:
Density of states at the Fermi level in states/eV/f.u.: 1.847
ΔE_f in eV per atom: -0.077

No. 17
A geometry-optimized Be4PtAu structure. Source: Alexandria, functional PBE.

Unit cell a=6.356 b=6.356 c=6.356 alpha=90.00 beta=90.00 gamma=90.00
Space group F-43m (No. 216)
Unique sites:
1 Be 0.125 0.125 0.125 (multiplicity 16)
2 Pt 0.250 0.250 0.750 (multiplicity 4)
3 Au 0.000 0.000 0.500 (multiplicity 4)

Values from the calculation:
Density of states at the Fermi level in states/eV/f.u.: 2.333
ΔE_f in eV per atom: -0.301

No. 18
A geometry-optimized TaTiMoRu structure. Source: Alexandria, functional PBE.

Unit cell a=6.320 b=6.320 c=6.320 alpha=90.00 beta=90.00 gamma=90.00
Space group F-43m (No. 216)
Unique sites:
1 Ta 0.000 0.000 0.000 (multiplicity 4)
2 Ti 0.000 0.000 0.500 (multiplicity 4)
3 Mo 0.250 0.250 0.250 (multiplicity 4)
4 Ru 0.250 0.250 0.750 (multiplicity 4)

Values from the calculation:
Density of states at the Fermi level in states/eV/f.u.: 2.687
ΔE to the lowest computed polymorph in meV/atom: 0
ΔE_f in eV per atom: -0.418

No. 19
A geometry-optimized YSiMo2 structure. Source: Alexandria, functional PBE.

Unit cell a=4.3319 b=4.3319 c=14.4478 alpha=90.00 beta=90.00 gamma=120.00
Space group R3m (No. 160, hexagonal axes)
Unique sites:
1 Y 0.0000 0.0000 0.0000 (multiplicity 3)
2 Si 0.0000 0.0000 0.7960 (multiplicity 3)
3 Mo 0.0000 0.0000 0.2111 (multiplicity 3)
4 Mo 0.0000 0.0000 0.4895 (multiplicity 3)

Values from the calculation:
Raw formation energy in eV/atom: -0.103
Density of states at the Fermi level in states/eV/f.u.: 4.052

No. 20
A geometry-optimized MgZrTiMo structure. Source: Alexandria, functional PBE.

Unit cell a=6.664 b=6.664 c=6.664 alpha=90.00 beta=90.00 gamma=90.00
Space group F-43m (No. 216)
Unique sites:
1 Mg 0.000 0.000 0.000 (multiplicity 4)
2 Zr 0.250 0.250 0.750 (multiplicity 4)
3 Ti 0.250 0.250 0.250 (multiplicity 4)
4 Mo 0.000 0.000 0.500 (multiplicity 4)

Values from the calculation:
Density of states at the Fermi level in states/eV/f.u.: 4.915
ΔE_f in eV per atom: 0.080

Which energy belongs to each record? In order, -4.34 -4.82 -6.68 -4.44 -6.11 -6.87 -3.01 -4.12 -8.82 -1.76 -6.15 -4.67 -5.64 -4.47 -5.74 -2.95 -4.34 -10.38 -8.49 -7.14 eV per atom.